{"formula": "Cu2AuBr", "functional": "PBE", "state": "relaxed", "cell": [[-0.6156, 0.7421, 3.4295], [-0.3934, -2.6642, 2.3319], [6.2186, -0.5848, 3.0744]], "species": ["Cu", "Cu", "Au", "Br"], "frac_coords": [[0.0055, 0.0055, 0.9882], [0.4945, 0.4945, 0.5118], [0.7500, 0.7500, 0.7500], [0.2500, 0.2500, 0.2500]], "e_tot_ev_per_atom": -3.144, "total_magnetization_mub_per_fu": 0.0, "de_polymorph_ev_per_atom": 0.117, "e_form_raw_ev_per_atom": 0.14, "sg": "C2/m, No. 12"}